Here is Pm4Ga3Hg after structural relaxation from Alexandria via LeMat-Bulk. Energies are from PBE.

POSCAR file:
```
Pm4Ga3Hg
1.0
4.308 0.000 0.000
0.000 4.377 0.000
0.000 0.000 11.366
Pm Ga Hg
4 3 1
Direct
0.000 0.000 0.000
0.000 0.500 0.489
0.500 0.000 0.709
0.500 0.500 0.215
0.000 0.000 0.283
0.500 0.000 0.425
0.500 0.500 0.940
0.000 0.500 0.777
```

Values from the calculation:
As for the space-group type: Pmm2. The density of states at the Fermi level is 9.35 states/eV/cell. Its electronic total energy is -32.62 eV per cell. The calculated formation energy is -0.529 eV per atom. The value obtained for the spin magnetization is 0.006 μB per formula unit.